VASP calculation (PBE-GGA) on LuZrCo2 after structural relaxation.

a b c (Å): 6.4612 6.4612 6.4612
angles (deg): 90.00 90.00 90.00
Last column: nearest neighbours and their distance in Å.
Space group Fm-3m (No. 225)
Symmetry-distinct sites (fractional):
1 Lu 0.0000 0.0000 0.0000 [4 per cell]  8 Co 2.80
2 Zr 0.0000 0.0000 0.5000 [4 per cell]  8 Co 2.80
3 Co 0.2500 0.2500 0.2500 [8 per cell]  4 Zr 2.80, 4 Lu 2.80

Results
E	-0.2609	Ha/atom
ΔH_f (0 K)	-280	meV/atom
crystal system	cubic
size of the total moment	1.2	μB per formula unit
polymorph energy (0 for the lowest one)	20	meV per atom